Computed, not measured: NdPuAg2 after structural relaxation at the PBE level of DFT.

Density of states at the Fermi level   2.979 states/eV per atom
Total moment   5.91 μB/cell
Offset from the most stable computed form   0.0220 eV per atom
ΔE_f   -0.04 eV/atom
Crystal system   cubic
E_tot   -25.0 eV per cell

a = 5.266 Å, b = 5.266 Å, c = 5.266 Å
α = 60.00°, β = 60.00°, γ = 60.00°
Fractional coordinates of all 4 atoms:
Nd: 0.000 0.000 0.000
Pu: 0.500 0.500 0.500
Ag: 0.750 0.750 0.750
Ag: 0.250 0.250 0.250